! CsSrCeI6 | Alexandria via LeMat-Bulk | GGA-PBE | relaxed; values from VASP
! Calculated total energy: -3.505 eV per atom
! Crystal system: trigonal
! Calculated density: 3621 kg/m3
! Total moment: 1.0 μB per formula unit
! ΔE_f (raw): -1.53 eV per atom
! N(E_F): 0.91 states/eV/atom
&SYSTEM
  ibrav = 0, nat = 18, ntyp = 4
/
ATOMIC_SPECIES
Cs 132.91 Cs.upf
Sr 87.62 Sr.upf
Ce 140.12 Ce.upf
I 126.90 I.upf
CELL_PARAMETERS angstrom
8.4165 0.0000 0.0000
-4.2082 7.2889 0.0000
0.0000 0.0000 16.7769
ATOMIC_POSITIONS angstrom
Cs 0.0000 0.0000 0.0000
Cs 0.0000 0.0000 8.3884
Sr 0.0000 4.8593 4.1942
Sr 4.2083 2.4296 12.5826
Ce 0.0000 4.8593 12.5826
Ce 4.2083 2.4296 4.1942
I -1.5011 2.7844 10.7247
I -2.5474 4.5967 14.4406
I 1.5011 2.7844 14.4406
I -1.0464 7.1967 10.7247
I 3.1619 0.0922 2.3363
I 1.6608 2.6922 6.0522
I 2.5474 4.5967 10.7247
I 1.0464 7.1967 14.4406
I 5.2546 0.0922 6.0522
I 2.7072 4.5045 2.3363
I 6.7557 2.6922 2.3363
I 5.7093 4.5045 6.0522